Computed, not measured: a relaxed MnSbIr2 crystal at the PBE-GGA level of DFT.

Unit cell a=8.5916 b=8.5916 c=8.5916 alpha=20.17 beta=20.17 gamma=20.17
Closest atoms and distances in Å follow each position.
Sites, in units of the cell vectors:
Ir 0.9963 0.9963 0.9963  3 Mn 2.66, 3 Sb 2.80
Ir 0.5037 0.5037 0.5037  3 Mn 2.66, 3 Sb 2.80
Mn 0.2500 0.2500 0.2500  6 Ir 2.66
Sb 0.7500 0.7500 0.7500  6 Ir 2.80, 6 Sb 3.01

Properties
Crystal system: trigonal
Formation energy without anion corrections: 0.880 eV/f.u.

***

Computed, not measured: a relaxed MnSbIr2 crystal at the PBE-GGA level of DFT.

Unit cell a=8.6531 b=8.6531 c=8.6531 alpha=19.76 beta=19.76 gamma=19.76
Closest atoms and distances in Å follow each position.
Sites, in units of the cell vectors:
Ir 0.9995 0.9995 0.9995  3 Sb 2.75, 9 Ir 2.80-2.97
Ir 0.2460 0.2460 0.2460  3 Mn 2.58, 3 Ir 2.80
Mn 0.5037 0.5037 0.5037  3 Ir 2.58, 3 Sb 2.78
Sb 0.7508 0.7508 0.7508  3 Ir 2.75, 3 Mn 2.78, 6 Sb 2.97

Properties
Crystal system: trigonal
Formation energy without anion corrections: 1.415 eV/f.u.